## TlCoTe2 (PBEsol)

Data for TlCoTe2 after structural relaxation.

Summary:
The uncorrected formation energy comes out at -0.16 eV/atom. The calculation puts the total energy at -0.332 Ry per atom.

Cell lengths 3.758, 3.758, 8.172 Å; angles 76.71, 76.71, 60.00 degrees
Fractional positions:
Tl  0.000  0.000  0.000
Te  0.222  0.222  0.334
Te  0.778  0.778  0.666
Co  0.500  0.500  0.500



## TcPdC3 (PBEsol)

Data for TcPdC3 after structural relaxation.

Summary:
The formation energy from the elements comes out at 2.828 eV per atom. The calculation puts the total energy at -0.471 Ry per atom.

Cell lengths 3.883, 3.883, 3.883 Å; angles 90.00, 90.00, 90.00 degrees
Fractional positions:
C  0.000  0.500  0.000
C  0.000  0.000  0.500
C  0.500  0.000  0.000
Tc  0.500  0.500  0.500
Pd  0.000  0.000  0.000



## BaSbCl2 (PBEsol)

Data for BaSbCl2 after structural relaxation.

Summary:
The uncorrected formation energy comes out at -1.11 eV/atom. The calculation puts the total energy at -0.279 Ry per atom.

Cell lengths 3.845, 5.456, 5.904 Å; angles 90.00, 90.00, 90.00 degrees
Fractional positions:
Sb  0.000  0.000  0.540
Ba  0.500  0.500  0.748
Cl  0.000  0.000  0.966
Cl  0.500  0.500  0.245